# PBE LaMoOs2, relaxed
data_LaMoOs2
_symmetry_space_group_name_H-M 'P 1'
_symmetry_Int_Tables_number 1
_cell_length_a 4.696
_cell_length_b 4.696
_cell_length_c 4.696
_cell_angle_alpha 60.00
_cell_angle_beta 60.00
_cell_angle_gamma 60.00
loop_
_symmetry_equiv_pos_as_xyz
'x,y,z'
loop_
_atom_site_label
_atom_site_fract_x
_atom_site_fract_y
_atom_site_fract_z
La1 0.000 0.000 0.000
Mo1 0.500 0.500 0.500
Os1 0.250 0.250 0.250
Os2 0.750 0.750 0.750
# * total moment: 0.00 μB per cell
# * total energy: -8.96 eV per atom
# * energy of formation from the pure elements: 0.60 eV per atom
# * ΔE to the lowest computed polymorph: 0.417 eV per atom
# * symmetry: Fm-3m

=====

# PBE La3MoOs, relaxed
data_La3MoOs
_symmetry_space_group_name_H-M 'P 1'
_symmetry_Int_Tables_number 1
_cell_length_a 5.462
_cell_length_b 5.462
_cell_length_c 5.462
_cell_angle_alpha 90.00
_cell_angle_beta 90.00
_cell_angle_gamma 90.00
loop_
_symmetry_equiv_pos_as_xyz
'x,y,z'
loop_
_atom_site_label
_atom_site_fract_x
_atom_site_fract_y
_atom_site_fract_z
La1 0.000 0.000 0.500
La2 0.000 0.500 0.000
La3 0.500 0.000 0.000
Mo1 0.500 0.500 0.500
Os1 0.000 0.000 0.000
# * total moment: 0.00 μB per cell
# * total energy: -6.58 eV per atom
# * energy of formation from the pure elements: 0.79 eV per atom
# * ΔE to the lowest computed polymorph: 0.000 eV per atom
# * symmetry: Pm-3m

=====

# PBE La2MoOs, relaxed
data_La2MoOs
_symmetry_space_group_name_H-M 'P 1'
_symmetry_Int_Tables_number 1
_cell_length_a 6.396
_cell_length_b 6.396
_cell_length_c 6.396
_cell_angle_alpha 102.95
_cell_angle_beta 102.95
_cell_angle_gamma 123.50
loop_
_symmetry_equiv_pos_as_xyz
'x,y,z'
loop_
_atom_site_label
_atom_site_fract_x
_atom_site_fract_y
_atom_site_fract_z
La1 0.101 0.125 0.476
La2 0.375 0.899 0.024
La3 0.649 0.625 0.524
La4 0.875 0.351 0.976
Mo1 0.250 0.750 0.500
Mo2 0.500 0.500 0.000
Os1 0.000 0.000 0.000
Os2 0.750 0.250 0.500
# * total moment: 3.75 μB per cell
# * total energy: -7.19 eV per atom
# * energy of formation from the pure elements: 0.79 eV per atom
# * ΔE to the lowest computed polymorph: 0.713 eV per atom
# * symmetry: I-42d

=====

# PBE La2Mo2Os, relaxed
data_La2Mo2Os
_symmetry_space_group_name_H-M 'P 1'
_symmetry_Int_Tables_number 1
_cell_length_a 7.836
_cell_length_b 7.836
_cell_length_c 7.836
_cell_angle_alpha 151.10
_cell_angle_beta 151.10
_cell_angle_gamma 41.32
loop_
_symmetry_equiv_pos_as_xyz
'x,y,z'
loop_
_atom_site_label
_atom_site_fract_x
_atom_site_fract_y
_atom_site_fract_z
La1 0.250 0.750 0.500
La2 0.750 0.250 0.500
Mo1 0.073 0.073 0.000
Mo2 0.927 0.927 0.000
Os1 0.500 0.500 0.000
# * total moment: 0.02 μB per cell
# * total energy: -7.09 eV per atom
# * energy of formation from the pure elements: 1.46 eV per atom
# * symmetry: I4/mmm

=====

# PBE La2MoOs, relaxed
data_La2MoOs
_symmetry_space_group_name_H-M 'P 1'
_symmetry_Int_Tables_number 1
_cell_length_a 3.423
_cell_length_b 4.704
_cell_length_c 5.314
_cell_angle_alpha 90.00
_cell_angle_beta 90.00
_cell_angle_gamma 90.00
loop_
_symmetry_equiv_pos_as_xyz
'x,y,z'
loop_
_atom_site_label
_atom_site_fract_x
_atom_site_fract_y
_atom_site_fract_z
La1 0.000 0.000 0.000
La2 0.500 0.000 0.500
Mo1 0.000 0.500 0.500
Os1 0.500 0.500 0.000
# * total moment: 0.00 μB per cell
# * total energy: -7.42 eV per atom
# * energy of formation from the pure elements: 0.56 eV per atom
# * ΔE to the lowest computed polymorph: 0.485 eV per atom
# * symmetry: Pmmm

=====

# PBE La4MoOs, relaxed
data_La4MoOs
_symmetry_space_group_name_H-M 'P 1'
_symmetry_Int_Tables_number 1
_cell_length_a 6.111
_cell_length_b 6.111
_cell_length_c 6.111
_cell_angle_alpha 60.00
_cell_angle_beta 60.00
_cell_angle_gamma 60.00
loop_
_symmetry_equiv_pos_as_xyz
'x,y,z'
loop_
_atom_site_label
_atom_site_fract_x
_atom_site_fract_y
_atom_site_fract_z
La1 0.376 0.376 0.376
La2 0.376 0.376 0.873
La3 0.376 0.873 0.376
La4 0.873 0.376 0.376
Mo1 0.000 0.000 0.000
Os1 0.750 0.750 0.750
# * total moment: 2.67 μB per cell
# * total energy: -5.72 eV per atom
# * energy of formation from the pure elements: 1.24 eV per atom
# * symmetry: F-43m

=====

# PBE LaMoOs2, relaxed
data_LaMoOs2
_symmetry_space_group_name_H-M 'P 1'
_symmetry_Int_Tables_number 1
_cell_length_a 3.104
_cell_length_b 4.560
_cell_length_c 5.570
_cell_angle_alpha 90.00
_cell_angle_beta 100.30
_cell_angle_gamma 90.00
loop_
_symmetry_equiv_pos_as_xyz
'x,y,z'
loop_
_atom_site_label
_atom_site_fract_x
_atom_site_fract_y
_atom_site_fract_z
La1 0.000 0.000 0.000
Mo1 0.796 0.500 0.440
Os1 0.382 0.000 0.499
Os2 0.433 0.500 0.805
# * total moment: 0.00 μB per cell
# * total energy: -9.10 eV per atom
# * energy of formation from the pure elements: 0.46 eV per atom
# * ΔE to the lowest computed polymorph: 0.277 eV per atom
# * symmetry: Pm

=====

# PBE LaMoOs2, relaxed
data_LaMoOs2
_symmetry_space_group_name_H-M 'P 1'
_symmetry_Int_Tables_number 1
_cell_length_a 4.883
_cell_length_b 4.883
_cell_length_c 3.086
_cell_angle_alpha 90.00
_cell_angle_beta 90.00
_cell_angle_gamma 90.00
loop_
_symmetry_equiv_pos_as_xyz
'x,y,z'
loop_
_atom_site_label
_atom_site_fract_x
_atom_site_fract_y
_atom_site_fract_z
La1 0.000 0.000 0.000
Mo1 0.500 0.500 0.000
Os1 0.000 0.500 0.500
Os2 0.500 0.000 0.500
# * total moment: 0.00 μB per cell
# * total energy: -8.96 eV per atom
# * energy of formation from the pure elements: 0.60 eV per atom
# * ΔE to the lowest computed polymorph: 0.420 eV per atom
# * symmetry: P4/mmm